(1)
# NaTl2HgO | the Alexandria database | PBE | optimized geometry
data_NaTl2HgO
_chemical_formula_sum 'Na1 Tl2 Hg1 O1'
_space_group_name_H-M_alt 'P 4/m m m'
_space_group_IT_number 123
_space_group_name_Hall '-P 4 2'
_cell_length_a 5.276
_cell_length_b 5.276
_cell_length_c 4.432
_cell_angle_alpha 90.00
_cell_angle_beta 90.00
_cell_angle_gamma 90.00
loop_
_atom_site_label
_atom_site_fract_x
_atom_site_fract_y
_atom_site_fract_z
Na1 0.000 0.000 0.000
Tl1 0.000 0.500 0.500
Hg1 0.500 0.500 0.000
O1 0.000 0.000 0.500
# total magnetic moment	0.0000	μB/atom
# calculated volume	24.68	Å³/atom
# uncorrected formation energy	-10.10	kcal/mol of atoms
# DOS(E_F)	1.36	states/eV/cell

=====

(2)
# PmRuN3 | the Alexandria database | PBE | optimized geometry
data_PmRuN3
_chemical_formula_sum 'Pm2 Ru2 N6'
_space_group_name_H-M_alt 'P 1 2/m 1'
_space_group_IT_number 10
_space_group_name_Hall '-P 2y'
_cell_length_a 5.634
_cell_length_b 3.384
_cell_length_c 7.449
_cell_angle_alpha 90.00
_cell_angle_beta 109.64
_cell_angle_gamma 90.00
loop_
_atom_site_label
_atom_site_fract_x
_atom_site_fract_y
_atom_site_fract_z
Pm1 0.180 0.000 0.328
Ru1 0.334 0.500 0.708
N1 0.000 0.500 0.500
N2 0.233 0.500 0.924
N3 0.297 0.500 0.099
N4 0.500 0.500 0.500
# total magnetic moment	0.0000	μB/atom
# calculated volume	13.38	Å³/atom
# uncorrected formation energy	-9.92	kcal/mol of atoms
# DOS(E_F)	5.89	states/eV/cell